# Li2NiOF2

A relaxed Li2NiOF2 crystal (GGA+U, Alexandria via LeMat-Bulk).

Unit cell a=2.937 b=2.937 c=12.415 alpha=90.00 beta=90.00 gamma=90.00
Fractional coordinates of all 12 atoms:
Li1 0.500 0.000 0.420
Li2 0.000 0.500 0.580
Li3 0.000 0.500 0.254
Li4 0.500 0.000 0.746
F1 0.000 0.500 0.419
F2 0.500 0.000 0.581
F3 0.500 0.000 0.259
F4 0.000 0.500 0.741
Ni1 0.500 0.000 0.083
Ni2 0.000 0.500 0.917
O1 0.500 0.000 0.913
O2 0.000 0.500 0.087

Values from the calculation:
The value obtained for the total magnetic moment is 2.00 μB/f.u. As for the total energy: -57.7 eV/cell.